(1)
This record from OQMD describes HoBe2 after structural relaxation. The functional is PBE.

a = 5.011 Å, b = 5.011 Å, c = 5.011 Å
α = 60.00°, β = 60.00°, γ = 60.00°
Atoms (fractional coordinates):
Be (0.625, 0.625, 0.125)
Be (0.625, 0.125, 0.625)
Be (0.125, 0.625, 0.625)
Be (0.625, 0.625, 0.625)
Ho (0.000, 0.000, 0.000)
Ho (0.250, 0.250, 0.250)

## Properties
The calculation puts the volume at 14.826 Å³/atom. As for the magnetic moment: 0.000 μB per formula unit. The calculation puts the electronic total energy at -0.28948 Ry/atom.

(2)
This record from OQMD describes HoBe after structural relaxation. The functional is PBE.

a = 3.416 Å, b = 3.416 Å, c = 4.282 Å
α = 90.00°, β = 90.00°, γ = 120.00°
Atoms (fractional coordinates):
Be (0.667, 0.333, 0.750)
Ho (0.333, 0.667, 0.250)

## Properties
The calculation puts the volume at 21.636 Å³/atom. As for the magnetic moment: 0.013 μB per formula unit. The calculation puts the electronic total energy at -0.26637 Ry/atom.

(3)
This record from OQMD describes HoBe after structural relaxation. The functional is PBE.

a = 3.994 Å, b = 3.994 Å, c = 3.994 Å
α = 60.00°, β = 60.00°, γ = 60.00°
Atoms (fractional coordinates):
Be (0.000, 0.000, 0.000)
Ho (0.500, 0.500, 0.500)

## Properties
The calculation puts the volume at 22.521 Å³/atom. As for the magnetic moment: 0.009 μB per formula unit. The calculation puts the electronic total energy at -0.26943 Ry/atom.

(4)
This record from OQMD describes HoBe14 after structural relaxation. The functional is PBE.

a = 5.526 Å, b = 5.526 Å, c = 5.526 Å
α = 75.27°, β = 75.27°, γ = 75.27°
Atoms (fractional coordinates):
Be (0.659, 0.341, 0.000)
Be (0.341, 0.659, 0.000)
Be (0.738, 0.738, 0.064)
Be (0.936, 0.262, 0.262)
Be (0.262, 0.936, 0.262)
Be (0.287, 0.287, 0.287)
Be (0.659, 0.000, 0.341)
Be (0.000, 0.659, 0.341)
Be (0.341, 0.000, 0.659)
Be (0.000, 0.341, 0.659)
Be (0.713, 0.713, 0.713)
Be (0.738, 0.064, 0.738)
Be (0.064, 0.738, 0.738)
Be (0.262, 0.262, 0.936)
Ho (0.500, 0.500, 0.500)

## Properties
The calculation puts the volume at 10.303 Å³/atom. As for the magnetic moment: 0.002 μB per formula unit. The calculation puts the electronic total energy at -0.26438 Ry/atom.

(5)
This record from OQMD describes HoBe2 after structural relaxation. The functional is PBE.

a = 4.398 Å, b = 4.398 Å, c = 4.398 Å
α = 60.00°, β = 60.00°, γ = 60.00°
Atoms (fractional coordinates):
Be (0.250, 0.250, 0.250)
Be (0.750, 0.750, 0.750)
Ho (0.000, 0.000, 0.000)

## Properties
The calculation puts the volume at 20.054 Å³/atom. As for the magnetic moment: 0.013 μB per formula unit. The calculation puts the electronic total energy at -0.22113 Ry/atom.

(6)
This record from OQMD describes HoBe13 after structural relaxation. The functional is PBE.

a = 7.188 Å, b = 7.188 Å, c = 7.188 Å
α = 120.00°, β = 90.00°, γ = 120.00°
Atoms (fractional coordinates):
Be (0.000, 0.000, 0.000)
Be (0.291, 0.353, 0.062)
Be (0.709, 0.000, 0.062)
Be (0.062, 0.772, 0.062)
Be (0.438, 0.000, 0.209)
Be (0.209, 0.647, 0.209)
Be (0.562, 0.772, 0.209)
Be (0.291, 0.228, 0.291)
Be (0.062, 0.353, 0.291)
Be (0.938, 0.000, 0.291)
Be (0.791, 0.228, 0.438)
Be (0.209, 0.000, 0.438)
Be (0.438, 0.647, 0.438)
Be (0.500, 0.000, 0.500)
Be (0.791, 0.000, 0.562)
Be (0.562, 0.353, 0.562)
Be (0.209, 0.772, 0.562)
Be (0.062, 0.000, 0.709)
Be (0.938, 0.647, 0.709)
Be (0.709, 0.772, 0.709)
Be (0.562, 0.000, 0.791)
Be (0.438, 0.228, 0.791)
Be (0.791, 0.353, 0.791)
Be (0.709, 0.647, 0.938)
Be (0.291, 0.000, 0.938)
Be (0.938, 0.228, 0.938)
Ho (0.750, 0.500, 0.250)
Ho (0.250, 0.500, 0.750)

## Properties
The calculation puts the volume at 9.377 Å³/atom. As for the magnetic moment: 0.000 μB per formula unit. The calculation puts the electronic total energy at -0.29381 Ry/atom.

(7)
This record from OQMD describes HoBe4 after structural relaxation. The functional is PBE.

a = 3.127 Å, b = 3.127 Å, c = 13.254 Å
α = 90.00°, β = 90.00°, γ = 90.00°
Atoms (fractional coordinates):
Be (0.000, 0.000, 0.000)
Be (0.500, 0.500, 0.000)
Be (0.000, 0.000, 0.383)
Be (0.500, 0.500, 0.383)
Be (0.000, 0.500, 0.498)
Be (0.500, 0.000, 0.502)
Be (0.000, 0.000, 0.617)
Be (0.500, 0.500, 0.617)
Ho (0.000, 0.500, 0.191)
Ho (0.500, 0.000, 0.809)

## Properties
The calculation puts the volume at 12.960 Å³/atom. As for the magnetic moment: 0.016 μB per formula unit. The calculation puts the electronic total energy at -0.26387 Ry/atom.

(8)
This record from OQMD describes HoBe after structural relaxation. The functional is PBE.

a = 4.350 Å, b = 4.350 Å, c = 4.350 Å
α = 60.00°, β = 60.00°, γ = 60.00°
Atoms (fractional coordinates):
Be (0.000, 0.000, 0.000)
Ho (0.250, 0.250, 0.250)

## Properties
The calculation puts the volume at 29.112 Å³/atom. As for the magnetic moment: 0.076 μB per formula unit. The calculation puts the electronic total energy at -0.21504 Ry/atom.

(9)
This record from OQMD describes HoBe2 after structural relaxation. The functional is PBE.

a = 9.479 Å, b = 9.479 Å, c = 9.479 Å
α = 60.00°, β = 60.00°, γ = 60.00°
Atoms (fractional coordinates):
Be (0.875, 0.375, 0.375)
Be (0.375, 0.875, 0.375)
Be (0.375, 0.375, 0.375)
Be (0.375, 0.375, 0.875)
Ho (0.250, 0.250, 0.250)
Ho (0.500, 0.500, 0.500)

## Properties
The calculation puts the volume at 100.358 Å³/atom. As for the magnetic moment: 1.999 μB per formula unit. The calculation puts the electronic total energy at -0.10739 Ry/atom.

(10)
This record from OQMD describes HoBeIn after structural relaxation. The functional is PBE.

a = 4.491 Å, b = 4.491 Å, c = 4.491 Å
α = 60.00°, β = 60.00°, γ = 60.00°
Atoms (fractional coordinates):
Be (0.000, 0.000, 0.000)
Ho (0.250, 0.250, 0.250)
In (0.750, 0.750, 0.750)

## Properties
The calculation puts the volume at 21.356 Å³/atom. As for the magnetic moment: 0.000 μB per formula unit. The calculation puts the electronic total energy at -0.28559 Ry/atom.

(11)
This record from OQMD describes HoBeIn after structural relaxation. The functional is PBE.

a = 4.661 Å, b = 4.661 Å, c = 4.661 Å
α = 60.00°, β = 60.00°, γ = 60.00°
Atoms (fractional coordinates):
Be (0.250, 0.250, 0.250)
Ho (0.750, 0.750, 0.750)
In (0.000, 0.000, 0.000)

## Properties
The calculation puts the volume at 23.866 Å³/atom. As for the magnetic moment: 0.000 μB per formula unit. The calculation puts the electronic total energy at -0.25588 Ry/atom.

(12)
This record from OQMD describes KHoBeSe3 after structural relaxation. The functional is PBE.

a = 7.689 Å, b = 7.689 Å, c = 10.834 Å
α = 90.00°, β = 90.00°, γ = 149.81°
Atoms (fractional coordinates):
Be (0.463, 0.537, 0.250)
Be (0.537, 0.463, 0.750)
Ho (0.000, 0.000, 0.000)
Ho (0.000, 0.000, 0.500)
K (0.745, 0.255, 0.250)
K (0.255, 0.745, 0.750)
Se (0.379, 0.621, 0.079)
Se (0.058, 0.942, 0.250)
Se (0.379, 0.621, 0.421)
Se (0.621, 0.379, 0.579)
Se (0.942, 0.058, 0.750)
Se (0.621, 0.379, 0.921)

## Properties
The calculation puts the volume at 26.842 Å³/atom. As for the magnetic moment: 0.003 μB per formula unit. The calculation puts the electronic total energy at -0.34691 Ry/atom.